No. 1
CsBaHg2Pd, optimized geometry, DFT PBE; final energy = -9.9 eV/cell; space group = P4/mmm; ΔH_f (0 K) = -261 meV/atom
1.0
-2.612 -1.805 4.661
4.886 0.184 2.809
-1.070 5.434 1.505
Hg Ba Cs Pd
2 1 1 1
Cartesian
-1.306 -0.902 2.330
2.443 0.092 1.405
-0.535 2.717 0.753
0.602 1.907 4.488
0.000 0.000 0.000


No. 2
KTiSeS2, optimized geometry, DFT PBE; final energy = -17.7 eV/cell; offset from the most stable computed form = 944 meV per atom; formation energy without anion corrections = 0.602 eV per atom; space group = P4/mmm
1.0
5.068 0.000 0.000
0.000 5.403 0.000
0.000 0.000 5.068
Se Ti S K
1 1 2 1
Cartesian
0.000 0.000 0.000
2.534 2.702 2.534
2.534 0.000 0.000
0.000 0.000 2.534
0.000 2.702 0.000


No. 3
Fe2Se, optimized geometry, DFT PBE; final energy = -38.2 eV/cell; offset from the most stable computed form = 582 meV per atom; formation energy without anion corrections = 0.441 eV per atom; space group = I4_1/amd
1.0
-1.515 1.515 9.473
1.515 -1.515 9.473
1.515 1.515 -9.473
Fe Se
4 2
Cartesian
0.000 0.000 10.911
1.515 0.000 6.175
0.000 0.000 8.034
1.515 0.000 3.298
0.000 1.515 4.736
0.000 0.000 0.000


No. 4
Tb6DyY8, optimized geometry, DFT PBE; final energy = -82.2 eV/cell; offset from the most stable computed form = 0 meV per atom; space group = R-3; ΔH_f (0 K) = 127 meV/atom
1.0
7.851 0.000 4.522
2.624 7.400 4.522
0.242 0.171 8.657
Tb Y Dy
6 8 1
Cartesian
4.869 1.697 4.535
2.310 4.022 4.007
2.096 0.833 2.586
8.621 6.738 15.113
5.849 5.874 13.165
8.408 3.550 13.693
4.609 3.256 10.152
6.108 4.315 7.548
6.240 0.887 7.541
7.714 5.585 10.302
2.857 5.404 7.431
3.003 1.986 7.398
4.478 6.685 10.159
7.861 2.167 10.269
0.000 0.000 0.000


No. 5
Si2AgTe, optimized geometry, DFT PBE; final energy = -15.1 eV/cell; offset from the most stable computed form = 193 meV per atom; formation energy without anion corrections = 0.446 eV per atom; space group = P2/m
1.0
4.597 0.000 0.000
0.000 2.855 -0.136
0.000 -2.474 6.612
Te Si Ag
1 2 1
Cartesian
2.298 0.095 1.619
0.000 0.374 6.133
0.000 0.198 3.580
2.298 0.286 4.857


No. 6
SeN, optimized geometry, DFT PBE; final energy = -9.7 eV/cell; formation energy without anion corrections = 1.038 eV per atom; space group = Pm
1.0
3.267 0.000 -0.008
0.000 2.860 0.000
-1.598 0.000 3.601
Se N
1 1
Cartesian
0.649 0.000 2.472
2.259 1.430 0.034


No. 7
CaTaCd2O6, optimized geometry, DFT PBE; final energy = -130.0 eV/cell; formation energy without anion corrections = -1.955 eV per atom; space group = P2_1/c
1.0
-4.920 1.680 -2.292
1.296 -2.854 -4.874
-3.711 -6.733 2.955
Cd O Ca Ta
4 12 2 2
Cartesian
-4.585 -5.857 -1.499
-2.749 -2.051 -2.711
-4.641 -2.858 -6.186
-2.693 -5.049 1.976
-4.967 -3.664 -1.201
-0.796 -1.645 -3.788
-3.440 -6.847 -3.212
-4.473 -1.697 -4.224
-3.894 -1.060 -0.998
-6.568 -7.022 -3.106
-2.861 -6.210 0.014
-6.538 -6.263 -0.422
-0.766 -0.886 -1.104
-4.875 -4.691 -4.344
-2.367 -4.243 -3.009
-2.459 -3.216 0.134
-1.207 -4.794 -0.959
-2.460 0.840 -1.146
0.648 -1.427 -2.437
-4.315 -2.527 0.332


No. 8
Pr8Ga2Pt, optimized geometry, DFT PBE; final energy = -53.9 eV/cell; offset from the most stable computed form = 69 meV per atom; space group = C2/m; ΔH_f (0 K) = -322 meV/atom
1.0
-3.360 -3.939 1.322
4.461 -4.786 -2.919
3.409 3.494 8.272
Pr Ga Pt
8 2 1
Cartesian
1.174 -1.654 8.853
1.582 -0.344 2.993
3.955 -1.763 4.796
1.848 0.492 6.161
2.662 -5.723 0.514
0.555 -3.467 1.879
2.928 -4.886 3.682
3.336 -3.577 -2.178
3.688 -2.710 1.300
0.821 -2.521 5.375
-1.680 -1.969 0.661


No. 9
LaScNi2, optimized geometry, DFT PBE; final energy = -23.4 eV/cell; offset from the most stable computed form = 212 meV per atom; space group = P4mm; ΔH_f (0 K) = -149 meV/atom
1.0
3.885 0.000 0.000
0.000 3.895 0.000
0.000 0.000 5.533
Ni La Sc
2 1 1
Cartesian
0.000 0.000 4.947
1.943 1.948 1.980
1.943 1.948 4.757
0.000 0.000 2.147


No. 10
Dy5Sb2Te2, optimized geometry, DFT PBE; final energy = -94.4 eV/cell; offset from the most stable computed form = 0 meV per atom; formation energy without anion corrections = -1.072 eV per atom; space group = Cmce
1.0
-7.753 1.073 -1.996
0.473 -6.741 -5.458
-2.234 -0.560 8.376
Te Sb Dy
4 4 10
Cartesian
-4.217 -4.347 -2.299
-1.694 -1.793 5.616
-0.067 -5.508 -2.699
-5.297 -1.881 3.220
-7.273 -1.678 -0.673
-6.490 -5.559 1.214
-3.024 -0.669 -0.293
-2.241 -4.550 1.595
-7.322 -4.736 -1.627
-2.192 -1.493 2.548
-1.462 -3.160 -1.185
-4.757 -3.114 0.461
0.000 0.000 0.000
-3.769 -6.614 -0.093
-8.052 -3.068 2.106
-5.745 0.385 1.014
-5.015 -1.283 -2.719
-4.499 -4.946 3.640


No. 11
Na2CaZn9, optimized geometry, DFT PBE; final energy = -17.5 eV/cell; space group = R-3m; ΔH_f (0 K) = -116 meV/atom
1.0
-1.821 -4.123 -2.991
-1.304 -4.688 2.364
-9.159 -0.134 0.869
Zn Ca Na
9 1 2
Cartesian
-2.099 -5.869 -0.417
-8.053 -2.883 -0.907
-4.492 -5.777 -1.555
-3.573 -3.696 -0.045
-4.231 -6.062 1.148
-6.142 -4.473 0.120
-8.711 -5.249 0.286
-7.793 -3.168 1.796
-10.186 -3.077 0.658
0.000 0.000 0.000
-6.639 -7.597 -0.161
-5.645 -1.348 0.402


No. 12
Na2PmTeSe4, optimized geometry, DFT PBE; final energy = -65.1 eV/cell; formation energy without anion corrections = -1.012 eV per atom; space group = C2/c
1.0
8.394 0.034 0.128
0.028 8.394 0.128
-4.039 -4.042 6.204
Pm Se Na Te
2 8 4 2
Cartesian
0.014 4.197 0.064
6.389 2.210 3.295
4.165 4.131 3.135
0.218 0.256 3.326
-2.027 2.326 6.157
0.163 4.175 3.055
4.220 0.211 3.406
-2.103 -2.067 6.109
6.487 6.454 0.352
6.411 2.061 0.304
2.178 -2.004 3.166
4.197 0.017 0.064
-2.019 -2.021 3.102
4.211 4.214 0.128
2.192 2.193 3.231
4.355 -4.007 6.332